Entry 1:
ZnBr3O | PBE | relaxed

Lattice parameters (Å, degrees): 3.921 6.433 6.593 105.88 95.42 98.90
Atoms (fractional coordinates):
O 0.679 0.932 0.785
Zn 0.728 0.232 0.753
Br 0.843 0.543 0.071
Br 0.186 0.216 0.523
Br 0.331 0.810 0.900

Calculated values
**Energy relative to the elements, uncorrected**: -1.81 eV per formula unit
**D(E_F)**: 3.60 states/eV/cell
**E above lowest polymorph**: 82 meV/atom
**Space-group type**: P1, No. 1
**Crystal system**: triclinic


Entry 2:
SmIn2Pd | PBE | relaxed

Lattice parameters (Å, degrees): 3.443 3.443 7.612 90.00 90.00 90.00
Atoms (fractional coordinates):
Pd 0.500 0.500 0.000
In 0.000 0.000 0.797
In 0.000 0.000 0.203
Sm 0.500 0.500 0.500

Calculated values
**D(E_F)**: 3.28 states/eV/cell
**DFT formation energy**: -504 meV/atom
**Space-group type**: P4/mmm, No. 123
**Crystal system**: tetragonal


Number 2 is which compound?
SmIn2Pd